Density functional theory data (PBE-GGA) for a geometry-optimized SmTl2Hg2Se4 structure.

The value obtained for the uncorrected formation energy is -5.80 eV per formula unit. Its mass density is 8.01 Mg/m³.

Geometry as CIF:
```
data_SmTl2Hg2Se4
_chemical_formula_sum 'Sm2 Tl4 Hg4 Se8'
_symmetry_space_group_name_H-M 'C 1 2/m 1'
_symmetry_Int_Tables_number 12
_cell_length_a 16.429
_cell_length_b 4.250
_cell_length_c 8.355
_cell_angle_alpha 90.00
_cell_angle_beta 114.91
_cell_angle_gamma 90.00
loop_
_symmetry_equiv_pos_as_xyz
'x,y,z'
'-x,-y,-z'
'-x,y,-z'
'x,-y,z'
'x+1/2,y+1/2,z'
'-x+1/2,-y+1/2,-z'
'-x+1/2,y+1/2,-z'
'x+1/2,-y+1/2,z'
loop_
_atom_site_label
_atom_site_fract_x
_atom_site_fract_y
_atom_site_fract_z
_atom_site_occupancy
Sm1 0.000 0.000 0.000 1
Tl1 0.122 0.000 0.551 1
Hg1 0.193 0.500 0.031 1
Se1 0.020 0.500 0.773 1
Se2 0.195 0.000 0.248 1
```



Density functional theory data (PBE-GGA) for a geometry-optimized Sn4HgSe8 structure.

The value obtained for the uncorrected formation energy is -4.16 eV per formula unit. Its mass density is 5.82 Mg/m³. As for the energy relative to the lowest polymorph listed for this composition: 0 meV per atom.

Geometry as CIF:
```
data_Sn4HgSe8
_chemical_formula_sum 'Sn12 Hg3 Se24'
_symmetry_space_group_name_H-M 'R -3 m'
_symmetry_Int_Tables_number 166
_symmetry_space_group_name_Hall '-R 3 2"'
_cell_length_a 7.8906
_cell_length_b 7.8906
_cell_length_c 20.7415
_cell_angle_alpha 90.00
_cell_angle_beta 90.00
_cell_angle_gamma 120.00
loop_
_atom_site_label
_atom_site_fract_x
_atom_site_fract_y
_atom_site_fract_z
_atom_site_occupancy
Sn1 0.0000 0.0000 0.0000 1
Sn2 0.0000 0.5000 0.0000 1
Hg1 0.0000 0.0000 0.5000 1
Se1 0.0000 0.0000 0.2573 1
Se2 0.0032 0.5016 0.2554 1
```



Density functional theory data (PBE-GGA) for a geometry-optimized SnHg2Se2 structure.

The value obtained for the uncorrected formation energy is -0.18 eV per formula unit. Its mass density is 8.04 Mg/m³. As for the energy relative to the lowest polymorph listed for this composition: 7 meV per atom.

Geometry as CIF:
```
data_SnHg2Se2
_chemical_formula_sum 'Sn2 Hg4 Se4'
_symmetry_space_group_name_H-M 'I 4/m m m'
_symmetry_Int_Tables_number 139
_symmetry_space_group_name_Hall '-I 4 2'
_cell_length_a 4.142
_cell_length_b 4.142
_cell_length_c 16.323
_cell_angle_alpha 90.00
_cell_angle_beta 90.00
_cell_angle_gamma 90.00
loop_
_atom_site_label
_atom_site_fract_x
_atom_site_fract_y
_atom_site_fract_z
_atom_site_occupancy
Sn1 0.000 0.000 0.000 1
Hg1 0.000 0.500 0.250 1
Se1 0.000 0.000 0.423 1
```



Density functional theory data (PBE-GGA) for a geometry-optimized SnHgSe4 structure.

The value obtained for the uncorrected formation energy is -0.57 eV per formula unit. Its mass density is 5.54 Mg/m³.

Geometry as CIF:
```
data_SnHgSe4
_chemical_formula_sum 'Sn4 Hg4 Se16'
_symmetry_space_group_name_H-M 'C 1 2/c 1'
_symmetry_Int_Tables_number 15
_cell_length_a 14.175
_cell_length_b 8.040
_cell_length_c 6.702
_cell_angle_alpha 90.00
_cell_angle_beta 94.83
_cell_angle_gamma 90.00
loop_
_symmetry_equiv_pos_as_xyz
'x,y,z'
'-x,-y,-z'
'-x,y,-z+1/2'
'x,-y,z+1/2'
'x+1/2,y+1/2,z'
'-x+1/2,-y+1/2,-z'
'-x+1/2,y+1/2,-z+1/2'
'x+1/2,-y+1/2,z+1/2'
loop_
_atom_site_label
_atom_site_fract_x
_atom_site_fract_y
_atom_site_fract_z
_atom_site_occupancy
Sn1 0.000 0.158 0.250 1
Hg1 0.250 0.250 0.000 1
Se1 0.070 0.161 0.656 1
Se2 0.146 0.360 0.254 1
```



Density functional theory data (PBE-GGA) for a geometry-optimized SnHgSe3 structure.

The value obtained for the uncorrected formation energy is -1.12 eV per formula unit. Its mass density is 5.96 Mg/m³. As for the energy relative to the lowest polymorph listed for this composition: 0 meV per atom.

Geometry as CIF:
```
data_SnHgSe3
_chemical_formula_sum 'Sn4 Hg4 Se12'
_symmetry_space_group_name_H-M 'C 1 2/m 1'
_symmetry_Int_Tables_number 12
_cell_length_a 13.782
_cell_length_b 4.085
_cell_length_c 11.084
_cell_angle_alpha 90.00
_cell_angle_beta 96.54
_cell_angle_gamma 90.00
loop_
_symmetry_equiv_pos_as_xyz
'x,y,z'
'-x,-y,-z'
'-x,y,-z'
'x,-y,z'
'x+1/2,y+1/2,z'
'-x+1/2,-y+1/2,-z'
'-x+1/2,y+1/2,-z'
'x+1/2,-y+1/2,z'
loop_
_atom_site_label
_atom_site_fract_x
_atom_site_fract_y
_atom_site_fract_z
_atom_site_occupancy
Sn1 0.083 0.000 0.274 1
Hg1 0.170 0.500 0.862 1
Se1 0.103 0.000 0.713 1
Se2 0.139 0.000 0.059 1
Se3 0.156 0.500 0.400 1
```



Density functional theory data (PBE-GGA) for a geometry-optimized SnHg3Se structure.

The value obtained for the uncorrected formation energy is 2.07 eV per formula unit. Its mass density is 8.24 Mg/m³. As for the energy relative to the lowest polymorph listed for this composition: 78 meV per atom.

Geometry as CIF:
```
data_SnHg3Se
_chemical_formula_sum 'Sn1 Hg3 Se1'
_symmetry_space_group_name_H-M 'P m -3 m'
_symmetry_Int_Tables_number 221
_symmetry_space_group_name_Hall '-P 4 2 3'
_cell_length_a 5.442
_cell_length_b 5.442
_cell_length_c 5.442
_cell_angle_alpha 90.00
_cell_angle_beta 90.00
_cell_angle_gamma 90.00
loop_
_atom_site_label
_atom_site_fract_x
_atom_site_fract_y
_atom_site_fract_z
_atom_site_occupancy
Sn1 0.000 0.000 0.000 1
Hg1 0.000 0.500 0.500 1
Se1 0.500 0.500 0.500 1
```



Density functional theory data (PBE-GGA) for a geometry-optimized Sn5Hg2Se5 structure.

The value obtained for the uncorrected formation energy is -3.19 eV per formula unit. Its mass density is 5.86 Mg/m³.

Geometry as CIF:
```
data_Sn5Hg2Se5
_chemical_formula_sum 'Sn5 Hg2 Se5'
_symmetry_space_group_name_H-M 'P 1'
_symmetry_Int_Tables_number 1
_cell_length_a 7.087
_cell_length_b 7.738
_cell_length_c 7.748
_cell_angle_alpha 84.15
_cell_angle_beta 74.83
_cell_angle_gamma 73.79
loop_
_symmetry_equiv_pos_as_xyz
'x,y,z'
loop_
_atom_site_label
_atom_site_fract_x
_atom_site_fract_y
_atom_site_fract_z
_atom_site_occupancy
Sn1 0.000 0.000 0.000 1
Sn2 0.003 0.467 0.532 1
Sn3 0.229 0.474 0.011 1
Sn4 0.631 0.653 0.181 1
Sn5 0.778 0.958 0.486 1
Hg1 0.351 0.162 0.705 1
Hg2 0.710 0.311 0.838 1
Se1 0.157 0.736 0.271 1
Se2 0.609 0.028 0.196 1
Se3 0.611 0.668 0.554 1
Se4 0.963 0.304 0.225 1
Se5 0.964 0.692 0.836 1
```



Density functional theory data (PBE-GGA) for a geometry-optimized SnHgSe2 structure.

The value obtained for the uncorrected formation energy is -0.91 eV per formula unit. Its mass density is 7.60 Mg/m³.

Geometry as CIF:
```
data_SnHgSe2
_chemical_formula_sum 'Sn3 Hg3 Se6'
_symmetry_space_group_name_H-M 'R 3 m'
_symmetry_Int_Tables_number 160
_symmetry_space_group_name_Hall 'R 3 -2"'
_cell_length_a 4.0617
_cell_length_b 4.0617
_cell_length_c 21.8851
_cell_angle_alpha 90.00
_cell_angle_beta 90.00
_cell_angle_gamma 120.00
loop_
_atom_site_label
_atom_site_fract_x
_atom_site_fract_y
_atom_site_fract_z
_atom_site_occupancy
Sn1 0.0000 0.0000 0.0000 1
Hg1 0.0000 0.0000 0.8301 1
Se1 0.0000 0.0000 0.4099 1
Se2 0.0000 0.0000 0.5877 1
```



Density functional theory data (PBE-GGA) for a geometry-optimized Sn5Hg3Se12 structure.

The value obtained for the uncorrected formation energy is -2.32 eV per formula unit. Its mass density is 6.07 Mg/m³.

Geometry as CIF:
```
data_Sn5Hg3Se12
_chemical_formula_sum 'Sn40 Hg24 Se96'
_symmetry_space_group_name_H-M 'I a -3 d'
_symmetry_Int_Tables_number 230
_symmetry_space_group_name_Hall '-I 4bd 2c 3'
_cell_length_a 16.737
_cell_length_b 16.737
_cell_length_c 16.737
_cell_angle_alpha 90.00
_cell_angle_beta 90.00
_cell_angle_gamma 90.00
loop_
_atom_site_label
_atom_site_fract_x
_atom_site_fract_y
_atom_site_fract_z
_atom_site_occupancy
Sn1 0.000 0.000 0.000 1
Sn2 0.000 0.250 0.375 1
Hg1 0.000 0.250 0.125 1
Se1 0.022 0.065 0.655 1
```



Density functional theory data (PBE-GGA) for a geometry-optimized SnHg4Se6 structure.

The value obtained for the uncorrected formation energy is -2.11 eV per formula unit. Its mass density is 7.04 Mg/m³.

Geometry as CIF:
```
data_SnHg4Se6
_chemical_formula_sum 'Sn4 Hg16 Se24'
_symmetry_space_group_name_H-M 'C 1 c 1'
_symmetry_Int_Tables_number 9
_cell_length_a 13.329
_cell_length_b 7.820
_cell_length_c 13.338
_cell_angle_alpha 90.00
_cell_angle_beta 108.88
_cell_angle_gamma 90.00
loop_
_symmetry_equiv_pos_as_xyz
'x,y,z'
'x,-y,z+1/2'
'x+1/2,y+1/2,z'
'x+1/2,-y+1/2,z+1/2'
loop_
_atom_site_label
_atom_site_fract_x
_atom_site_fract_y
_atom_site_fract_z
_atom_site_occupancy
Sn1 0.000 0.233 0.000 1
Hg1 0.065 0.064 0.757 1
Hg2 0.233 0.403 0.248 1
Hg3 0.247 0.112 0.560 1
Hg4 0.430 0.206 0.910 1
Se1 0.120 0.228 0.369 1
Se2 0.200 0.241 0.057 1
Se3 0.244 0.251 0.748 1
Se4 0.421 0.472 0.056 1
Se5 0.423 0.221 0.302 1
Se6 0.449 0.001 0.081 1
```



> Which of these has the lowest mass density?

SnHgSe4